# 1
Density functional theory data (GGA-PBE) for TcAs2Pb after structural relaxation.

```
TcAs2Pb
1.0
3.3584 0.0000 0.0000
0.0000 4.2838 0.0000
-1.6350 0.0000 6.1282
Tc As Pb
1 2 1
Direct
0.0000 0.0000 0.0000
0.1115 0.5000 0.2309
0.6465 0.0000 0.3009
0.3868 0.5000 0.7671
```

crystal system: monoclinic
VASP energy: -22.414 eV per formula unit



# 2
Density functional theory data (GGA-PBE) for Tc2As2Pb after structural relaxation.

```
Tc2As2Pb
1.0
3.9101 0.0000 0.0000
0.0000 3.9101 0.0000
0.0000 0.0000 12.0941
Tc As Pb
4 4 2
Direct
0.0000 0.0000 0.1202
0.0000 0.0000 0.8798
0.5000 0.5000 0.3798
0.5000 0.5000 0.6202
0.0000 0.5000 0.2500
0.0000 0.5000 0.7500
0.5000 0.0000 0.2500
0.5000 0.0000 0.7500
0.0000 0.0000 0.5000
0.5000 0.5000 0.0000
```

polymorph energy (0 for the lowest one): 187 meV/atom
crystal system: tetragonal



# 3
Density functional theory data (GGA-PBE) for Tc2As2Pb after structural relaxation.

```
Tc2As2Pb
1.0
7.5592 0.0000 0.0000
0.0000 7.5592 0.0000
0.0000 0.0000 3.0927
Tc As Pb
4 4 2
Direct
0.1410 0.3590 0.0000
0.3590 0.8590 0.0000
0.6410 0.1410 0.0000
0.8590 0.6410 0.0000
0.1382 0.6382 0.5000
0.3618 0.1382 0.5000
0.6382 0.8618 0.5000
0.8618 0.3618 0.5000
0.0000 0.0000 0.0000
0.5000 0.5000 0.0000
```

polymorph energy (0 for the lowest one): 180 meV/atom
crystal system: tetragonal



# 4
Density functional theory data (GGA-PBE) for TcAsPb2 after structural relaxation.

```
TcAsPb2
1.0
3.2710 0.0000 0.0000
-1.6355 2.8328 0.0000
0.0000 0.0000 29.3982
Tc As Pb
3 3 6
Direct
0.0000 0.0000 0.0000
0.3333 0.6667 0.6667
0.6667 0.3333 0.3333
0.0000 0.0000 0.5000
0.3333 0.6667 0.1667
0.6667 0.3333 0.8333
0.0000 0.0000 0.2593
0.0000 0.0000 0.7407
0.3333 0.6667 0.4074
0.3333 0.6667 0.9260
0.6667 0.3333 0.0740
0.6667 0.3333 0.5926
```

crystal system: trigonal
VASP energy: -19.974 eV per formula unit



# 5
Density functional theory data (GGA-PBE) for TcAsPb2 after structural relaxation.

```
TcAsPb2
1.0
3.3635 0.0000 0.0000
0.0000 3.3880 0.0000
-0.0097 0.0000 7.7814
Tc As Pb
1 1 2
Direct
0.0000 0.0000 0.0000
0.0000 0.0000 0.5000
0.4991 0.5000 0.7818
0.5009 0.5000 0.2182
```

crystal system: monoclinic
VASP energy: -19.974 eV per formula unit



# 6
Density functional theory data (GGA-PBE) for TcAs2Pb after structural relaxation.

```
TcAs2Pb
1.0
4.3126 0.0000 0.0000
0.0000 4.3126 0.0000
0.0000 0.0000 8.3917
Tc As Pb
2 4 2
Direct
0.0000 0.0000 0.0000
0.5000 0.5000 0.5000
0.0000 0.0000 0.5000
0.0000 0.5000 0.7500
0.5000 0.0000 0.2500
0.5000 0.5000 0.0000
0.0000 0.5000 0.2500
0.5000 0.0000 0.7500
```

crystal system: tetragonal
VASP energy: -20.732 eV per formula unit



# 7
Density functional theory data (GGA-PBE) for TcAs2Pb after structural relaxation.

```
TcAs2Pb
1.0
6.0992 0.0000 0.0000
0.0000 6.0992 0.0000
0.0000 0.0000 11.9423
Tc As Pb
4 8 4
Direct
0.0000 0.0000 0.0000
0.0000 0.5000 0.2500
0.5000 0.0000 0.7500
0.5000 0.5000 0.5000
0.1732 0.2500 0.1250
0.2500 0.6732 0.3750
0.2500 0.8268 0.8750
0.3268 0.2500 0.6250
0.6732 0.7500 0.6250
0.7500 0.1732 0.8750
0.7500 0.3268 0.3750
0.8268 0.7500 0.1250
0.0000 0.0000 0.5000
0.0000 0.5000 0.7500
0.5000 0.0000 0.2500
0.5000 0.5000 0.0000
```

crystal system: tetragonal
VASP energy: -22.502 eV per formula unit



# 8
Density functional theory data (GGA-PBE) for TcAs2Pb after structural relaxation.

```
TcAs2Pb
1.0
4.8792 0.0000 0.0000
0.0000 4.8792 0.0000
0.0000 0.0000 3.3542
Tc As Pb
1 2 1
Direct
0.0000 0.0000 0.0000
0.0000 0.5000 0.5000
0.5000 0.0000 0.5000
0.5000 0.5000 0.0000
```

crystal system: tetragonal
VASP energy: -20.694 eV per formula unit



# 9
Density functional theory data (GGA-PBE) for TcAsPb2 after structural relaxation.

```
TcAsPb2
1.0
4.9235 0.0000 0.0000
0.0000 4.9235 0.0000
0.0000 0.0000 3.6065
Tc As Pb
1 1 2
Direct
0.0000 0.0000 0.0000
0.5000 0.5000 0.0000
0.0000 0.5000 0.5000
0.5000 0.0000 0.5000
```

crystal system: tetragonal
VASP energy: -19.829 eV per formula unit



# 10
Density functional theory data (GGA-PBE) for TcAsPb2 after structural relaxation.

```
TcAsPb2
1.0
3.2885 0.0000 0.0000
-1.6443 2.8479 0.0000
0.0000 0.0000 30.2581
Tc As Pb
3 3 6
Direct
0.0000 0.0000 0.0000
0.3333 0.6667 0.6667
0.6667 0.3333 0.3333
0.0000 0.0000 0.2807
0.3333 0.6667 0.9474
0.6667 0.3333 0.6141
0.0000 0.0000 0.5166
0.0000 0.0000 0.7428
0.3333 0.6667 0.1832
0.3333 0.6667 0.4095
0.6667 0.3333 0.0762
0.6667 0.3333 0.8499
```

crystal system: trigonal
VASP energy: -22.006 eV per formula unit



# 11
Density functional theory data (GGA-PBE) for TcAsPb2 after structural relaxation.

```
TcAsPb2
1.0
4.3840 0.0000 0.0000
0.0000 4.3840 0.0000
0.0000 0.0000 9.6633
Tc As Pb
2 2 4
Direct
0.0000 0.0000 0.0000
0.5000 0.5000 0.5000
0.0000 0.5000 0.7500
0.5000 0.0000 0.2500
0.0000 0.0000 0.5000
0.0000 0.5000 0.2500
0.5000 0.0000 0.7500
0.5000 0.5000 0.0000
```

crystal system: tetragonal
VASP energy: -19.643 eV per formula unit



# 12
Density functional theory data (GGA-PBE) for TcAs2Pb after structural relaxation.

```
TcAs2Pb
1.0
3.4629 0.0000 0.0000
0.0000 4.5253 0.0000
0.0000 0.0000 4.9729
Tc As Pb
1 2 1
Direct
0.0000 0.0000 0.0000
0.0000 0.5000 0.5000
0.5000 0.0000 0.5000
0.5000 0.5000 0.0000
```

crystal system: orthorhombic
VASP energy: -20.834 eV per formula unit



# 13
Density functional theory data (GGA-PBE) for TcAsPb2 after structural relaxation.

```
TcAsPb2
1.0
3.2639 0.0000 0.0000
0.0000 3.8430 0.0000
0.0000 0.0000 15.7093
Tc As Pb
2 2 4
Direct
0.0000 0.0000 0.0000
0.5000 0.5000 0.5000
0.0000 0.0000 0.5000
0.5000 0.5000 0.0000
0.0000 0.5000 0.3355
0.0000 0.5000 0.6645
0.5000 0.0000 0.1645
0.5000 0.0000 0.8355
```

crystal system: orthorhombic
VASP energy: -21.474 eV per formula unit



# 14
Density functional theory data (GGA-PBE) for Tc2As2Pb after structural relaxation.

```
Tc2As2Pb
1.0
4.4598 0.0000 0.0000
0.0000 4.4598 0.0000
0.0000 0.0000 9.5545
Tc As Pb
4 4 2
Direct
0.0000 0.5000 0.2500
0.0000 0.5000 0.7500
0.5000 0.0000 0.2500
0.5000 0.0000 0.7500
0.0000 0.0000 0.1375
0.0000 0.0000 0.8625
0.5000 0.5000 0.3625
0.5000 0.5000 0.6375
0.0000 0.0000 0.5000
0.5000 0.5000 0.0000
```

polymorph energy (0 for the lowest one): 0 meV/atom
crystal system: tetragonal



# 15
Density functional theory data (GGA-PBE) for TcAs2Pb after structural relaxation.

```
TcAs2Pb
1.0
3.2566 0.0000 0.0000
0.0000 3.2566 0.0000
0.0000 0.0000 7.7921
Tc As Pb
1 2 1
Direct
0.0000 0.0000 0.0000
0.0000 0.0000 0.3479
0.5000 0.5000 0.1382
0.5000 0.5000 0.7187
```

crystal system: tetragonal
VASP energy: -22.707 eV per formula unit